# 1
# Tb3Nd2Hg2 PBE relaxed
data_Tb3Nd2Hg2
_cell_length_a 3.6393
_cell_length_b 3.6261
_cell_length_c 16.1352
_cell_angle_alpha 90.00
_cell_angle_beta 83.52
_cell_angle_gamma 90.00
_space_group_name_H-M_alt 'P 1'
_space_group_IT_number 1
loop_
_space_group_symop_operation_xyz
'x,y,z'
loop_
_atom_site_label
_atom_site_fract_x
_atom_site_fract_y
_atom_site_fract_z
_atom_site_occupancy
Tb1 0.8784 0.0000 0.2431 1
Tb2 0.0000 0.0000 0.0000 1
Tb3 0.1216 0.0000 0.7569 1
Nd1 0.7019 0.5000 0.5962 1
Nd2 0.2981 0.5000 0.4038 1
Hg1 0.5606 0.5000 0.8788 1
Hg2 0.4394 0.5000 0.1212 1
# Formation energy from the elements (meV per atom): -207
# N(E_F) (states/eV/f.u.): 9.229

# 2
# AlIn3Ag3S8 PBE relaxed
data_AlIn3Ag3S8
_cell_length_a 7.5002
_cell_length_b 7.5348
_cell_length_c 7.8432
_cell_angle_alpha 120.55
_cell_angle_beta 90.00
_cell_angle_gamma 119.85
_space_group_name_H-M_alt 'P 1'
_space_group_IT_number 1
loop_
_space_group_symop_operation_xyz
'x,y,z'
loop_
_atom_site_label
_atom_site_fract_x
_atom_site_fract_y
_atom_site_fract_z
_atom_site_occupancy
Al1 0.0000 0.0000 0.5000 1
In1 0.5000 0.0000 0.5000 1
In2 0.5000 0.5000 0.5000 1
In3 0.0000 0.5000 0.5000 1
Ag1 0.0000 0.0000 0.0000 1
Ag2 0.0000 0.5000 0.0000 1
Ag3 0.5000 0.5000 0.0000 1
S1 0.2496 0.4991 0.2682 1
S2 0.7504 0.5009 0.7318 1
S3 0.7684 0.5368 0.2796 1
S4 0.2316 0.4632 0.7204 1
S5 0.7619 0.9883 0.2722 1
S6 0.2381 0.0117 0.7278 1
S7 0.2264 0.9883 0.2722 1
S8 0.7736 0.0117 0.7278 1
# Formation energy without anion corrections (eV per atom): -0.43
# N(E_F) (states/eV/f.u.): 6.761

# 3
# Tb2Pm2NdY6 PBE relaxed
data_Tb2Pm2NdY6
_cell_length_a 6.6855
_cell_length_b 6.6855
_cell_length_c 12.0928
_cell_angle_alpha 101.69
_cell_angle_beta 101.69
_cell_angle_gamma 129.26
_space_group_name_H-M_alt 'P 1'
_space_group_IT_number 1
loop_
_space_group_symop_operation_xyz
'x,y,z'
loop_
_atom_site_label
_atom_site_fract_x
_atom_site_fract_y
_atom_site_fract_z
_atom_site_occupancy
Tb1 0.2950 0.7050 0.5000 1
Tb2 0.7050 0.2950 0.5000 1
Pm1 0.8660 0.1340 0.0000 1
Pm2 0.1340 0.8660 0.0000 1
Nd1 0.0000 0.0000 0.5000 1
Y1 0.7096 0.7096 0.7087 1
Y2 0.1405 0.4464 0.7926 1
Y3 0.2904 0.2904 0.2913 1
Y4 0.4464 0.1405 0.7926 1
Y5 0.8595 0.5536 0.2074 1
Y6 0.5536 0.8595 0.2074 1
# Formation energy from the elements (meV per atom): 150
# N(E_F) (states/eV/f.u.): 17.303

# 4
# LiMn2CrBr PBE relaxed
data_LiMn2CrBr
_cell_length_a 4.5243
_cell_length_b 4.3932
_cell_length_c 4.5243
_cell_angle_alpha 90.00
_cell_angle_beta 90.00
_cell_angle_gamma 90.00
_space_group_name_H-M_alt 'P 1'
_space_group_IT_number 1
loop_
_space_group_symop_operation_xyz
'x,y,z'
loop_
_atom_site_label
_atom_site_fract_x
_atom_site_fract_y
_atom_site_fract_z
_atom_site_occupancy
Cr1 0.0000 0.5000 0.0000 1
Mn1 0.0000 0.0000 0.5000 1
Mn2 0.5000 0.0000 0.0000 1
Br1 0.5000 0.5000 0.5000 1
Li1 0.0000 0.0000 0.0000 1
# Formation energy without anion corrections (eV per atom): 1.38
# N(E_F) (states/eV/f.u.): 6.715